DFT (PBE) results for Zr2CrHg after structural relaxation.

Properties
DOS at the Fermi energy = 1.069 states/eV per atom
formation energy from the elements = 0.771 eV/atom
energy above the most stable polymorph in this dataset = 785 meV/atom

```
8
Lattice="4.098 0.000 0.000 0.000 4.098 0.000 2.049 2.049 9.971" Properties=species:S:1:pos:R:3 pbc="T T T"
Zr 3.074 3.123 7.479
Zr 5.123 5.073 7.479
Cr 2.049 2.049 0.000
Hg 0.000 0.000 0.000
Zr 3.024 1.025 2.493
Hg 4.098 2.049 4.986
Cr 2.049 4.098 4.986
Zr 1.074 3.074 2.493
```